Arrangement i

The following is a DFT calculation (GGA-PBE) of an optimized crystal structure of Tm6In3Ir.

Unit cell a=9.102 b=5.187 c=11.250 alpha=90.00 beta=107.37 gamma=90.00
Sites, in units of the cell vectors:
1 Tm 0.045 0.250 0.418
2 Tm 0.190 0.750 0.167
3 Tm 0.282 0.250 0.003
4 Tm 0.352 0.750 0.827
5 Tm 0.369 0.250 0.336
6 Tm 0.401 0.250 0.645
7 Tm 0.599 0.750 0.355
8 Tm 0.631 0.750 0.664
9 Tm 0.648 0.250 0.173
10 Tm 0.718 0.750 0.997
11 Tm 0.810 0.250 0.833
12 Tm 0.955 0.750 0.582
13 In 0.012 0.750 0.880
14 In 0.098 0.250 0.718
15 In 0.280 0.750 0.476
16 In 0.720 0.250 0.524
17 In 0.902 0.750 0.282
18 In 0.988 0.250 0.120
19 Ir 0.459 0.750 0.095
20 Ir 0.541 0.250 0.905

Properties
Crystal system: monoclinic
DOS at the Fermi energy (states/eV/f.u.): 8.10



Arrangement ii

The following is a DFT calculation (GGA-PBE) of an optimized crystal structure of Tm6In3Ir.

Unit cell a=8.980 b=11.627 c=5.034 alpha=90.00 beta=90.00 gamma=90.00
Sites, in units of the cell vectors:
1 Tm 0.021 0.235 0.000
2 Tm 0.154 0.079 0.500
3 Tm 0.198 0.406 0.500
4 Tm 0.302 0.906 0.000
5 Tm 0.346 0.579 0.000
6 Tm 0.479 0.735 0.500
7 Tm 0.521 0.265 0.500
8 Tm 0.654 0.421 0.000
9 Tm 0.698 0.094 0.000
10 Tm 0.802 0.594 0.500
11 Tm 0.846 0.921 0.500
12 Tm 0.979 0.765 0.000
13 In 0.000 0.500 0.000
14 In 0.146 0.708 0.500
15 In 0.354 0.208 0.000
16 In 0.500 0.000 0.500
17 In 0.646 0.792 0.000
18 In 0.854 0.292 0.500
19 Ir 0.000 0.000 0.000
20 Ir 0.500 0.500 0.500

Properties
Crystal system: orthorhombic
DOS at the Fermi energy (states/eV/f.u.): 7.37



How do the energies compare? Relative to the most stable structure, in kJ/mol of atoms: arrangement i 0.0; arrangement ii 0.9.



Arrangement i

The following is a DFT calculation (GGA-PBE) of an optimized crystal structure of Tm4InIr.

Unit cell a=8.586 b=8.586 c=8.586 alpha=33.31 beta=33.31 gamma=33.31
Sites, in units of the cell vectors:
1 Tm 0.114 0.114 0.114
2 Tm 0.366 0.366 0.366
3 Tm 0.634 0.634 0.634
4 Tm 0.886 0.886 0.886
5 In 0.500 0.500 0.500
6 Ir 0.000 0.000 0.000

Properties
Crystal system: trigonal
DOS at the Fermi energy (states/eV/f.u.): 5.00



Arrangement ii

The following is a DFT calculation (GGA-PBE) of an optimized crystal structure of Tm4InIr.

Unit cell a=9.537 b=9.537 c=9.537 alpha=60.00 beta=60.00 gamma=60.00
Sites, in units of the cell vectors:
1 Tm 0.058 0.058 0.442
2 Tm 0.058 0.442 0.058
3 Tm 0.058 0.442 0.442
4 Tm 0.190 0.190 0.810
5 Tm 0.190 0.810 0.190
6 Tm 0.190 0.810 0.810
7 Tm 0.202 0.599 0.599
8 Tm 0.442 0.058 0.058
9 Tm 0.442 0.058 0.442
10 Tm 0.442 0.442 0.058
11 Tm 0.599 0.202 0.599
12 Tm 0.599 0.599 0.202
13 Tm 0.599 0.599 0.599
14 Tm 0.810 0.190 0.190
15 Tm 0.810 0.190 0.810
16 Tm 0.810 0.810 0.190
17 In 0.499 0.834 0.834
18 In 0.834 0.499 0.834
19 In 0.834 0.834 0.499
20 In 0.834 0.834 0.834
21 Ir 0.391 0.391 0.391
22 Ir 0.391 0.391 0.827
23 Ir 0.391 0.827 0.391
24 Ir 0.827 0.391 0.391

Properties
Crystal system: cubic
DOS at the Fermi energy (states/eV/f.u.): 3.20



How do the energies compare? Relative to the most stable structure, in kJ/mol of atoms: arrangement i 16.8; arrangement ii 0.0.



Arrangement i

The following is a DFT calculation (GGA-PBE) of an optimized crystal structure of In2IrW.

Unit cell a=9.425 b=2.970 c=5.254 alpha=90.00 beta=101.73 gamma=90.00
Sites, in units of the cell vectors:
1 In 0.246 0.000 0.246
2 In 0.254 0.500 0.754
3 In 0.746 0.500 0.246
4 In 0.754 0.000 0.754
5 Ir 0.000 0.500 0.000
6 Ir 0.500 0.000 0.000
7 W 0.000 0.000 0.500
8 W 0.500 0.500 0.500

Properties
Crystal system: monoclinic
DOS at the Fermi energy (states/eV/f.u.): 3.83



Arrangement ii

The following is a DFT calculation (GGA-PBE) of an optimized crystal structure of In2IrW.

Unit cell a=3.002 b=3.681 c=6.463 alpha=90.00 beta=90.00 gamma=90.00
Sites, in units of the cell vectors:
1 In 0.000 0.000 0.237
2 In 0.000 0.000 0.763
3 Ir 0.500 0.500 0.000
4 W 0.500 0.500 0.500

Properties
Crystal system: orthorhombic
DOS at the Fermi energy (states/eV/f.u.): 2.84



How do the energies compare? Relative to the most stable structure, in kJ/mol of atoms: arrangement i 0.0; arrangement ii 1.5.



Arrangement i

The following is a DFT calculation (GGA-PBE) of an optimized crystal structure of In2IrW.

Unit cell a=2.982 b=4.776 c=5.138 alpha=90.00 beta=90.00 gamma=90.00
Sites, in units of the cell vectors:
1 In 0.000 0.000 0.000
2 In 0.500 0.000 0.500
3 Ir 0.000 0.500 0.500
4 W 0.500 0.500 0.000

Properties
Crystal system: orthorhombic
DOS at the Fermi energy (states/eV/f.u.): 3.69



Arrangement ii

The following is a DFT calculation (GGA-PBE) of an optimized crystal structure of In2IrW.

Unit cell a=4.099 b=4.099 c=8.575 alpha=90.00 beta=90.00 gamma=90.00
Sites, in units of the cell vectors:
1 In 0.000 0.000 0.000
2 In 0.000 0.500 0.250
3 In 0.500 0.000 0.750
4 In 0.500 0.500 0.500
5 Ir 0.000 0.500 0.750
6 Ir 0.500 0.000 0.250
7 W 0.000 0.000 0.500
8 W 0.500 0.500 0.000

Properties
Crystal system: tetragonal
DOS at the Fermi energy (states/eV/f.u.): 4.39



Arrangement iii

The following is a DFT calculation (GGA-PBE) of an optimized crystal structure of In2IrW.

Unit cell a=4.789 b=4.789 c=3.108 alpha=90.00 beta=90.00 gamma=90.00
Sites, in units of the cell vectors:
1 In 0.000 0.500 0.000
2 In 0.500 0.000 0.000
3 Ir 0.000 0.000 0.500
4 W 0.500 0.500 0.500

Properties
Crystal system: tetragonal
DOS at the Fermi energy (states/eV/f.u.): 2.70



How do the energies compare? Relative to the most stable structure, in kJ/mol of atoms: arrangement i 5.5; arrangement ii 3.3; arrangement iii 0.0.



Arrangement i

The following is a DFT calculation (GGA-PBE) of an optimized crystal structure of In2IrW.

Unit cell a=2.947 b=2.971 c=8.817 alpha=90.00 beta=99.55 gamma=90.00
Sites, in units of the cell vectors:
1 In 0.000 0.000 0.000
2 In 0.162 0.500 0.324
3 Ir 0.381 0.500 0.764
4 W 0.786 0.000 0.572

Properties
Crystal system: monoclinic
DOS at the Fermi energy (states/eV/f.u.): 2.42



Arrangement ii

The following is a DFT calculation (GGA-PBE) of an optimized crystal structure of In2IrW.

Unit cell a=6.628 b=6.628 c=6.628 alpha=90.00 beta=90.00 gamma=90.00
Sites, in units of the cell vectors:
1 In 0.000 0.000 0.000
2 In 0.000 0.500 0.500
3 In 0.250 0.250 0.250
4 In 0.250 0.750 0.750
5 In 0.500 0.000 0.500
6 In 0.500 0.500 0.000
7 In 0.750 0.250 0.750
8 In 0.750 0.750 0.250
9 Ir 0.250 0.250 0.750
10 Ir 0.250 0.750 0.250
11 Ir 0.750 0.250 0.250
12 Ir 0.750 0.750 0.750
13 W 0.000 0.000 0.500
14 W 0.000 0.500 0.000
15 W 0.500 0.000 0.000
16 W 0.500 0.500 0.500

Properties
Crystal system: cubic
DOS at the Fermi energy (states/eV/f.u.): 5.27



How do the energies compare? Relative to the most stable structure, in kJ/mol of atoms: arrangement i 0.0; arrangement ii 52.4.



Arrangement i

The following is a DFT calculation (GGA-PBE) of an optimized crystal structure of In2IrW.

Unit cell a=2.964 b=2.964 c=8.803 alpha=90.00 beta=90.00 gamma=90.00
Sites, in units of the cell vectors:
1 In 0.000 0.000 0.000
2 In 0.500 0.500 0.328
3 Ir 0.000 0.000 0.567
4 W 0.500 0.500 0.753

Properties
Crystal system: tetragonal
DOS at the Fermi energy (states/eV/f.u.): 3.08



Arrangement ii

The following is a DFT calculation (GGA-PBE) of an optimized crystal structure of In2IrW.

Unit cell a=4.133 b=4.133 c=8.455 alpha=90.00 beta=90.00 gamma=90.00
Sites, in units of the cell vectors:
1 In 0.000 0.500 0.250
2 In 0.000 0.500 0.750
3 In 0.500 0.000 0.250
4 In 0.500 0.000 0.750
5 Ir 0.000 0.000 0.000
6 Ir 0.500 0.500 0.500
7 W 0.000 0.000 0.500
8 W 0.500 0.500 0.000

Properties
Crystal system: tetragonal
DOS at the Fermi energy (states/eV/f.u.): 3.44



How do the energies compare? Relative to the most stable structure, in kJ/mol of atoms: arrangement i 0.0; arrangement ii 41.0.



Arrangement i

The following is a DFT calculation (GGA-PBE) of an optimized crystal structure of In2IrW.

Unit cell a=6.609 b=6.609 c=6.609 alpha=90.00 beta=90.00 gamma=90.00
Sites, in units of the cell vectors:
1 In 0.250 0.250 0.250
2 In 0.250 0.250 0.750
3 In 0.250 0.750 0.250
4 In 0.250 0.750 0.750
5 In 0.750 0.250 0.250
6 In 0.750 0.250 0.750
7 In 0.750 0.750 0.250
8 In 0.750 0.750 0.750
9 Ir 0.000 0.000 0.000
10 Ir 0.000 0.500 0.500
11 Ir 0.500 0.000 0.500
12 Ir 0.500 0.500 0.000
13 W 0.000 0.000 0.500
14 W 0.000 0.500 0.000
15 W 0.500 0.000 0.000
16 W 0.500 0.500 0.500

Properties
Crystal system: cubic
DOS at the Fermi energy (states/eV/f.u.): 4.48



Arrangement ii

The following is a DFT calculation (GGA-PBE) of an optimized crystal structure of In2IrW.

Unit cell a=7.620 b=7.620 c=5.483 alpha=90.00 beta=90.00 gamma=90.00
Sites, in units of the cell vectors:
1 In 0.229 0.750 0.125
2 In 0.250 0.229 0.875
3 In 0.250 0.271 0.375
4 In 0.271 0.750 0.625
5 In 0.729 0.250 0.625
6 In 0.750 0.729 0.375
7 In 0.750 0.771 0.875
8 In 0.771 0.250 0.125
9 Ir 0.000 0.000 0.000
10 Ir 0.000 0.500 0.250
11 Ir 0.500 0.000 0.750
12 Ir 0.500 0.500 0.500
13 W 0.000 0.000 0.500
14 W 0.000 0.500 0.750
15 W 0.500 0.000 0.250
16 W 0.500 0.500 0.000

Properties
Crystal system: tetragonal
DOS at the Fermi energy (states/eV/f.u.): 3.75



Arrangement iii

The following is a DFT calculation (GGA-PBE) of an optimized crystal structure of In2IrW.

Unit cell a=2.939 b=2.939 c=8.303 alpha=90.00 beta=90.00 gamma=90.00
Sites, in units of the cell vectors:
1 In 0.000 0.000 0.232
2 In 0.000 0.000 0.768
3 Ir 0.500 0.500 0.000
4 W 0.500 0.500 0.500

Properties
Crystal system: tetragonal
DOS at the Fermi energy (states/eV/f.u.): 2.43



How do the energies compare? Relative to the most stable structure, in kJ/mol of atoms: arrangement i 17.5; arrangement ii 44.8; arrangement iii 0.0.



Arrangement i

The following is a DFT calculation (GGA-PBE) of an optimized crystal structure of In2IrW.

Unit cell a=3.018 b=3.018 c=27.437 alpha=90.00 beta=90.00 gamma=120.00
Sites, in units of the cell vectors:
1 In 0.000 0.000 0.246
2 In 0.000 0.000 0.754
3 In 0.333 0.667 0.420
4 In 0.333 0.667 0.913
5 In 0.667 0.333 0.087
6 In 0.667 0.333 0.580
7 Ir 0.000 0.000 0.500
8 Ir 0.333 0.667 0.167
9 Ir 0.667 0.333 0.833
10 W 0.000 0.000 0.000
11 W 0.333 0.667 0.667
12 W 0.667 0.333 0.333

Properties
Crystal system: trigonal
DOS at the Fermi energy (states/eV/f.u.): 2.04



Arrangement ii

The following is a DFT calculation (GGA-PBE) of an optimized crystal structure of In2IrW.

Unit cell a=2.941 b=4.606 c=5.382 alpha=90.00 beta=93.89 gamma=90.00
Sites, in units of the cell vectors:
1 In 0.186 0.000 0.252
2 In 0.814 0.000 0.748
3 Ir 0.000 0.500 0.500
4 W 0.500 0.500 0.000

Properties
Crystal system: monoclinic
DOS at the Fermi energy (states/eV/f.u.): 2.92



How do the energies compare? Relative to the most stable structure, in kJ/mol of atoms: arrangement i 0.0; arrangement ii 6.7.



Arrangement i

The following is a DFT calculation (GGA-PBE) of an optimized crystal structure of In2IrW.

Unit cell a=3.068 b=5.038 c=9.421 alpha=90.00 beta=90.00 gamma=90.00
Sites, in units of the cell vectors:
1 In 0.000 0.000 0.242
2 In 0.000 0.000 0.758
3 In 0.500 0.500 0.242
4 In 0.500 0.500 0.758
5 Ir 0.000 0.500 0.000
6 Ir 0.500 0.000 0.000
7 W 0.000 0.500 0.500
8 W 0.500 0.000 0.500

Properties
Crystal system: orthorhombic
DOS at the Fermi energy (states/eV/f.u.): 2.05



Arrangement ii

The following is a DFT calculation (GGA-PBE) of an optimized crystal structure of In2IrW.

Unit cell a=10.884 b=2.919 c=5.009 alpha=90.00 beta=111.83 gamma=90.00
Sites, in units of the cell vectors:
1 In 0.000 0.000 0.000
2 In 0.208 0.000 0.603
3 In 0.500 0.500 0.000
4 In 0.708 0.500 0.603
5 Ir 0.454 0.000 0.483
6 Ir 0.954 0.500 0.483
7 W 0.256 0.500 0.128
8 W 0.756 0.000 0.128

Properties
Crystal system: monoclinic
DOS at the Fermi energy (states/eV/f.u.): 4.18



How do the energies compare? Relative to the most stable structure, in kJ/mol of atoms: arrangement i 18.4; arrangement ii 0.0.



Arrangement i

The following is a DFT calculation (GGA-PBE) of an optimized crystal structure of Y3InIr.

Unit cell a=5.554 b=6.212 c=8.760 alpha=99.89 beta=100.00 gamma=114.14
Sites, in units of the cell vectors:
1 Y 0.049 0.168 0.289
2 Y 0.298 0.456 0.737
3 Y 0.301 0.800 0.103
4 Y 0.699 0.200 0.897
5 Y 0.702 0.544 0.263
6 Y 0.951 0.832 0.711
7 In 0.334 0.748 0.474
8 In 0.666 0.252 0.526
9 Ir 0.240 0.239 0.999
10 Ir 0.760 0.761 0.001

Properties
Crystal system: triclinic
DOS at the Fermi energy (states/eV/f.u.): 3.62



Arrangement ii

The following is a DFT calculation (GGA-PBE) of an optimized crystal structure of Y3InIr.

Unit cell a=5.369 b=5.369 c=5.369 alpha=90.00 beta=90.00 gamma=90.00
Sites, in units of the cell vectors:
1 Y 0.000 0.000 0.500
2 Y 0.000 0.500 0.000
3 Y 0.500 0.000 0.000
4 In 0.500 0.500 0.500
5 Ir 0.000 0.000 0.000

Properties
Crystal system: cubic
DOS at the Fermi energy (states/eV/f.u.): 5.44



How do the energies compare? Relative to the most stable structure, in kJ/mol of atoms: arrangement i 0.0; arrangement ii 19.8.



Arrangement i

The following is a DFT calculation (GGA-PBE) of an optimized crystal structure of YIn3Ir.

Unit cell a=5.121 b=5.121 c=5.121 alpha=90.00 beta=90.00 gamma=90.00
Sites, in units of the cell vectors:
1 Y 0.000 0.000 0.000
2 In 0.000 0.500 0.500
3 In 0.500 0.000 0.500
4 In 0.500 0.500 0.000
5 Ir 0.500 0.500 0.500

Properties
Crystal system: cubic
DOS at the Fermi energy (states/eV/f.u.): 5.05



Arrangement ii

The following is a DFT calculation (GGA-PBE) of an optimized crystal structure of YIn3Ir.

Unit cell a=5.642 b=5.642 c=5.642 alpha=90.00 beta=90.00 gamma=90.00
Sites, in units of the cell vectors:
1 Y 0.000 0.000 0.000
2 In 0.000 0.000 0.500
3 In 0.000 0.500 0.000
4 In 0.500 0.000 0.000
5 Ir 0.500 0.500 0.500

Properties
Crystal system: cubic
DOS at the Fermi energy (states/eV/f.u.): 7.38



How do the energies compare? Relative to the most stable structure, in kJ/mol of atoms: arrangement i 0.0; arrangement ii 155.7.